{"formula": "TaMo3", "functional": "PBE", "state": "relaxed", "lattice": [[-1.8811, 1.8811, 9.4680], [1.8811, -1.8811, 9.4680], [1.8811, 1.8811, -9.4680]], "species": ["Ta", "Ta", "Mo", "Mo", "Mo", "Mo", "Mo", "Mo"], "frac_coords": [[0.1237, 0.1237, 0.0000], [0.8763, 0.8763, 0.0000], [0.0000, 0.5000, 0.5000], [0.2500, 0.7500, 0.5000], [0.3733, 0.3733, 0.0000], [0.5000, 0.0000, 0.5000], [0.6267, 0.6267, 0.0000], [0.7500, 0.2500, 0.5000]], "e_tot_ry_per_atom": -0.8005, "formation_enthalpy_0k_ev_per_fu": 0.78, "spacegroup": "I4/mmm, No. 139", "n_ef_per_ev_fu": 2.546, "m_tot_mub_per_atom": 0.000}